Record 1
HfB2Ru: optimized geometry, PBE-GGA.

abc: 4.0057 4.0057 4.0057
angles: 60.00 60.00 60.00
Last column: nearest neighbours and their distance in Å.
Element x y z (fractional)
Hf1 0.0000 0.0000 0.0000  8 B 2.45
B1 0.2500 0.2500 0.2500  4 Hf 2.45, 4 Ru 2.45
B2 0.7500 0.7500 0.7500  4 Ru 2.45, 4 Hf 2.45
Ru1 0.5000 0.5000 0.5000  8 B 2.45

Results
* crystal system: cubic
* energy relative to the lowest polymorph listed for this composition: 306 meV/atom
* space-group type: Fm-3m
* formation energy: -0.0910 eV per atom
* theoretical density: 11.00 Mg/m³

Record 2
SmIn6Pb: optimized geometry, PBE-GGA.

abc: 6.8860 6.8860 4.5619
angles: 90.00 90.00 90.00
Last column: nearest neighbours and their distance in Å.
Element x y z (fractional)
Sm1 0.0000 0.0000 0.0000  12 In 3.33-3.44
In1 0.0000 0.5000 0.0000  8 In 3.34, 2 Pb 3.44, 2 Sm 3.44
In2 0.2495 0.2495 0.5000  2 Sm 3.33, 8 In 3.34-3.45, 2 Pb 3.34
In3 0.2495 0.7505 0.5000  2 Sm 3.33, 8 In 3.34-3.45, 2 Pb 3.34
In4 0.5000 0.0000 0.0000  8 In 3.34, 2 Pb 3.44, 2 Sm 3.44
In5 0.7505 0.2495 0.5000  2 Sm 3.33, 8 In 3.34-3.45, 2 Pb 3.34
In6 0.7505 0.7505 0.5000  2 Sm 3.33, 8 In 3.34-3.45, 2 Pb 3.34
Pb1 0.5000 0.5000 0.0000  12 In 3.34-3.44

Results
* crystal system: tetragonal
* space-group type: P4/mmm
* formation energy: -0.1535 eV per atom
* theoretical density: 8.03 Mg/m³

Record 3
TaH2Cl: optimized geometry, PBE-GGA.

abc: 3.8365 3.8365 3.8365
angles: 60.00 60.00 60.00
Last column: nearest neighbours and their distance in Å.
Element x y z (fractional)
Ta1 0.0000 0.0000 0.0000  8 H 2.35
H1 0.2500 0.2500 0.2500  4 Cl 2.35, 4 Ta 2.35
H2 0.7500 0.7500 0.7500  4 Ta 2.35, 4 Cl 2.35
Cl1 0.5000 0.5000 0.5000  8 H 2.35

Results
* crystal system: cubic
* energy relative to the lowest polymorph listed for this composition: 1258 meV/atom
* space-group type: Fm-3m
* theoretical density: 9.08 Mg/m³

Record 4
Pr4Nd2SmDy: optimized geometry, PBE-GGA.

abc: 5.1922 5.2163 10.3549
angles: 90.00 90.15 90.00
Last column: nearest neighbours and their distance in Å.
Element x y z (fractional)
Pr1 0.9998 0.0000 0.2482  2 Dy 3.65-3.66, 4 Nd 3.66-3.68, 4 Pr 3.68, 2 Sm 3.69
Pr2 0.0002 0.0000 0.7518  2 Dy 3.65-3.66, 4 Nd 3.66-3.68, 4 Pr 3.68, 2 Sm 3.69
Pr3 0.5001 0.5000 0.2491  4 Nd 3.66-3.68, 2 Sm 3.67-3.68, 2 Dy 3.67, 4 Pr 3.68
Pr4 0.4999 0.5000 0.7509  4 Nd 3.66-3.68, 2 Sm 3.67-3.68, 2 Dy 3.67, 4 Pr 3.68
Nd1 0.0000 0.5000 0.0000  8 Pr 3.66, 4 Dy 3.68
Nd2 0.5000 0.0000 0.5000  8 Pr 3.68, 4 Sm 3.68
Sm1 0.0000 0.5000 0.5000  8 Pr 3.67-3.69, 4 Nd 3.68
Dy1 0.5000 0.0000 0.0000  8 Pr 3.65-3.67, 4 Nd 3.68

Results
* crystal system: monoclinic
* space-group type: P2/m
* formation energy: 0.0123 eV per atom
* theoretical density: 6.90 Mg/m³